Entry 1:
## DySi4Ir3 (PBE)

Data for crystalline DySi4Ir3 at its relaxed geometry.

Computed properties:
M_tot = 0.0 μB per formula unit
E = -7.20 eV per atom

Cell: 5.2965 3.7472 6.6779 Å, 90.00 102.25 90.00°
Space group Pm (No. 6)
Unique sites:
Dy: 0.0000 0.0000 0.0000
Si: 0.1427 0.5000 0.7057
Si: 0.4843 0.0000 0.7860
Si: 0.4940 0.0000 0.2844
Si: 0.8654 0.5000 0.3300
Ir: 0.1616 0.0000 0.4711
Ir: 0.5030 0.5000 0.0301
Ir: 0.6756 0.5000 0.6377

=====

Entry 2:
## GdTe2PbAuS (PBE)

Data for crystalline GdTe2PbAuS at its relaxed geometry.

Computed properties:
M_tot = 0.0 μB per formula unit
E = -4.46 eV per atom

Cell: 4.2979 14.7680 10.4237 Å, 90.00 90.00 90.00°
Space group Cmcm (No. 63)
Unique sites:
Gd: 0.0000 0.0000 0.0000
Te: 0.0000 0.3489 0.0572
Pb: 0.0000 0.2675 0.7500
Au: 0.0000 0.4794 0.2500
S: 0.0000 0.0770 0.2500

=====

Entry 3:
## KNbAl (PBE)

Data for crystalline KNbAl at its relaxed geometry.

Computed properties:
M_tot = 3.0 μB per formula unit
E = -3.53 eV per atom

Cell: 7.0847 7.0847 7.0847 Å, 90.00 90.00 90.00°
Space group F-43m (No. 216)
Unique sites:
K: 0.0000 0.0000 0.0000
Nb: 0.0000 0.0000 0.5000
Al: 0.2500 0.2500 0.2500

=====

Entry 4:
## RbCu2F3 (PBE)

Data for crystalline RbCu2F3 at its relaxed geometry.

Computed properties:
E = -3.81 eV per atom

Cell: 6.1478 12.1176 4.8508 Å, 90.00 90.00 90.00°
Space group Cmcm (No. 63)
Unique sites:
Rb: 0.0000 0.2218 0.2500
Cu: 0.2299 0.0000 0.0000
F: 0.0000 0.4026 0.7500
F: 0.2131 0.1241 0.7500

=====

Entry 5:
## TaN (PBE)

Data for crystalline TaN at its relaxed geometry.

Computed properties:
M_tot = 0.0 μB per formula unit
E = -10.45 eV per atom

Cell: 2.7479 2.7479 2.7479 Å, 90.00 90.00 90.00°
Space group Pm-3m (No. 221)
Unique sites:
Ta: 0.0000 0.0000 0.0000
N: 0.5000 0.5000 0.5000

=====

Entry 6:
## SrTe2Au2F2 (PBE)

Data for crystalline SrTe2Au2F2 at its relaxed geometry.

Computed properties:
E = -3.25 eV per atom

Cell: 4.0140 4.0140 9.3355 Å, 90.00 90.00 90.00°
Space group P-4m2 (No. 115)
Unique sites:
Sr: 0.0000 0.0000 0.0000
Te: 0.0000 0.5000 0.7292
Au: 0.0000 0.5000 0.3136
F: 0.0000 0.0000 0.5000
F: 0.5000 0.5000 0.5000

=====

Which formula does entry 6 have? SrTe2Au2F2

=====

Look up the E of the fifth one. -10.45 eV per atom

=====

The lowest E belongs to which entry? TaN